Computed, not measured: a relaxed ScCuNiGe crystal at the GGA-PBE level of DFT.

a = 4.314 Å, b = 4.314 Å, c = 4.314 Å
α = 60.00°, β = 60.00°, γ = 60.00°
Fractional positions:
1 Sc 0.750 0.750 0.750
2 Ni 0.000 0.000 0.000
3 Ge 0.250 0.250 0.250
4 Cu 0.500 0.500 0.500

Summary:
The energy of formation from the pure elements comes out at -448 meV per atom.

Computed, not measured: a relaxed Cs2S6Br crystal at the GGA-PBE level of DFT.

a = 4.948 Å, b = 12.503 Å, c = 16.671 Å
α = 155.97°, β = 61.69°, γ = 118.40°
Fractional positions:
1 Cs 0.231 0.368 0.632
2 Cs 0.769 0.632 0.368
3 S 0.199 0.031 0.836
4 S 0.793 0.777 0.692
5 S 0.379 0.968 0.883
6 S 0.801 0.969 0.164
7 S 0.621 0.032 0.117
8 S 0.207 0.223 0.308
9 Br 0.500 0.000 0.500

Summary:
For the raw formation energy, the calculation gives -560.9 meV per atom.

Computed, not measured: a relaxed PmCrHN2 crystal at the GGA-PBE level of DFT.

a = 3.518 Å, b = 3.833 Å, c = 3.833 Å
α = 90.00°, β = 90.00°, γ = 90.00°
Fractional positions:
1 Pm 0.500 0.500 0.500
2 Cr 0.000 0.000 0.000
3 H 0.500 0.000 0.000
4 N 0.000 0.000 0.500
5 N 0.000 0.500 0.000

Computed, not measured: a relaxed Ti5Nb2Sn4 crystal at the GGA-PBE level of DFT.

a = 2.941 Å, b = 7.443 Å, c = 9.667 Å
α = 93.76°, β = 90.00°, γ = 90.00°
Fractional positions:
1 Ti 0.000 0.564 0.292
2 Ti 0.000 0.195 0.166
3 Ti 0.000 0.500 0.000
4 Ti 0.000 0.805 0.834
5 Ti 0.000 0.436 0.708
6 Nb 0.000 0.066 0.638
7 Nb 0.000 0.934 0.362
8 Sn 0.500 0.715 0.565
9 Sn 0.500 0.180 0.895
10 Sn 0.500 0.285 0.435
11 Sn 0.500 0.820 0.105

Summary:
The energy of formation from the pure elements comes out at -64 meV per atom.

Computed, not measured: a relaxed CsIN2F crystal at the GGA-PBE level of DFT.

a = 4.125 Å, b = 4.125 Å, c = 5.675 Å
α = 90.00°, β = 90.00°, γ = 90.00°
Fractional positions:
1 Cs 0.500 0.500 0.500
2 I 0.000 0.000 0.000
3 N 0.000 0.500 0.000
4 N 0.500 0.000 0.000
5 F 0.000 0.000 0.500

Summary:
For the raw formation energy, the calculation gives 522.9 meV per atom. The polymorph energy (0 for the lowest one) is 0.0 meV/atom.

Computed, not measured: a relaxed Tb3SmPb crystal at the GGA-PBE level of DFT.

a = 8.726 Å, b = 8.850 Å, c = 9.685 Å
α = 121.44°, β = 90.00°, γ = 90.00°
Fractional positions:
1 Tb 0.092 0.091 0.299
2 Tb 0.908 0.909 0.701
3 Tb 0.592 0.909 0.201
4 Tb 0.408 0.091 0.799
5 Tb 0.565 0.732 0.450
6 Tb 0.435 0.268 0.550
7 Tb 0.065 0.268 0.050
8 Tb 0.935 0.732 0.950
9 Tb 0.194 0.585 0.548
10 Tb 0.806 0.415 0.452
11 Tb 0.694 0.415 0.952
12 Tb 0.306 0.585 0.048
13 Sm 0.935 0.700 0.290
14 Sm 0.065 0.300 0.710
15 Sm 0.435 0.300 0.210
16 Sm 0.565 0.700 0.790
17 Pb 0.246 0.900 0.458
18 Pb 0.754 0.100 0.542
19 Pb 0.746 0.100 0.042
20 Pb 0.254 0.900 0.958

Summary:
The energy of formation from the pure elements comes out at -151 meV per atom.

Quick rundown of total DFT energy (no corrections), same order as above: -0.2078; -0.1355; -0.2814; -0.2550; -0.1346; -0.1696 hartree per atom